Computed, not measured: crystalline NaInTe2 at its relaxed geometry at the GGA-PBE level of DFT.

The structure in CIF format:
```
data_NaInTe2
_chemical_formula_sum 'Na1 In1 Te2'
_space_group_name_H-M_alt 'P 1'
_space_group_IT_number 1
_space_group_name_Hall 'P 1'
_cell_length_a 8.1953
_cell_length_b 8.1953
_cell_length_c 8.1953
_cell_angle_alpha 30.51
_cell_angle_beta 30.51
_cell_angle_gamma 30.51
loop_
_atom_site_label
_atom_site_type_symbol
_atom_site_fract_x
_atom_site_fract_y
_atom_site_fract_z
Na1 Na 0.0000 0.0000 0.0000
In1 In 0.1667 0.1667 0.1667
Te1 Te 0.5730 0.5730 0.5730
Te2 Te 0.7602 0.7602 0.7602
```

Values from the calculation:
* magnetization: 0.00 μB per cell
* calculated total energy: -12.40 eV per cell